The following is a DFT calculation (PBE) of a relaxed NdSn2Pb crystal.

Properties
magnetization: 0.00 Bohr magnetons per cell
E_tot: -17.9 eV/f.u.

a b c (Å): 6.9141 8.9464 3.7506
angles (deg): 90.00 90.00 90.00
Space group Cmmm (No. 65)
Unique sites:
Nd 0.0000 0.0000 0.0000 [2 per cell]
Sn 0.2500 0.2500 0.5000 [4 per cell]
Pb 0.0000 0.5000 0.0000 [2 per cell]